Density functional theory data (GGA-PBE) for a geometry-optimized NaBe2I structure.

Results
- Fermi-level density of states (states/eV/atom) = 0.183
- size of the total moment (μB/cell) = 0.00
- energy relative to the elements, uncorrected (meV per atom) = 1121
- symmetry = Fm-3m
- raw total energy (eV per atom) = -1.459

Lattice parameters (Å, degrees): 4.9951 4.9951 4.9951 60.00 60.00 60.00
Last column: nearest neighbours and their distance in Å.
Fractional coordinates of all 4 atoms:
Na (0.0000, 0.0000, 0.0000)  8 Be 3.06
Be (0.2500, 0.2500, 0.2500)  4 Na 3.06, 4 I 3.06
Be (0.7500, 0.7500, 0.7500)  4 Na 3.06, 4 I 3.06
I (0.5000, 0.5000, 0.5000)  8 Be 3.06

Density functional theory data (GGA-PBE) for a geometry-optimized Na3BeI structure.

Results
- Fermi-level density of states (states/eV/atom) = 0.575
- size of the total moment (μB/cell) = 0.00
- energy relative to the elements, uncorrected (meV per atom) = 307
- symmetry = Pm-3m
- raw total energy (eV per atom) = -1.539

Lattice parameters (Å, degrees): 5.8988 5.8988 5.8988 90.00 90.00 90.00
Last column: nearest neighbours and their distance in Å.
Fractional coordinates of all 5 atoms:
Na (0.0000, 0.0000, 0.5000)  2 I 2.95
Na (0.0000, 0.5000, 0.0000)  2 I 2.95
Na (0.5000, 0.0000, 0.0000)  2 I 2.95
Be (0.5000, 0.5000, 0.5000)  12 Na 4.17
I (0.0000, 0.0000, 0.0000)  6 Na 2.95

Density functional theory data (GGA-PBE) for a geometry-optimized Na2BeI structure.

Results
- Fermi-level density of states (states/eV/atom) = 0.453
- size of the total moment (μB/cell) = 0.00
- energy relative to the elements, uncorrected (meV per atom) = 189
- symmetry = Fm-3m
- raw total energy (eV per atom) = -1.790

Lattice parameters (Å, degrees): 5.4766 5.4766 5.4766 60.00 60.00 60.00
Last column: nearest neighbours and their distance in Å.
Fractional coordinates of all 4 atoms:
Na (0.2500, 0.2500, 0.2500)  4 I 3.35, 4 Be 3.35
Na (0.7500, 0.7500, 0.7500)  4 I 3.35, 4 Be 3.35
Be (0.0000, 0.0000, 0.0000)  8 Na 3.35
I (0.5000, 0.5000, 0.5000)  8 Na 3.35

Density functional theory data (GGA-PBE) for a geometry-optimized Na2BeI structure.

Results
- Fermi-level density of states (states/eV/atom) = 0.090
- size of the total moment (μB/cell) = 0.00
- energy relative to the elements, uncorrected (meV per atom) = 229
- symmetry = I-42d
- raw total energy (eV per atom) = -1.750

Lattice parameters (Å, degrees): 10.1770 10.1770 10.1770 148.60 148.60 45.00
Last column: nearest neighbours and their distance in Å.
Fractional coordinates of all 8 atoms:
Na (0.0920, 0.6250, 0.9670)  2 Be 2.97, 2 I 3.14
Na (0.3750, 0.3420, 0.4670)  2 Be 2.97, 2 I 3.14
Na (0.6580, 0.1250, 0.0330)  2 Be 2.97, 2 I 3.14
Na (0.8750, 0.9080, 0.5330)  2 Be 2.97, 2 I 3.14
Be (0.0000, 0.0000, 0.0000)  4 Na 2.97
Be (0.7500, 0.2500, 0.5000)  4 Na 2.97
I (0.2500, 0.7500, 0.5000)  4 Na 3.14
I (0.5000, 0.5000, 0.0000)  4 Na 3.14

Density functional theory data (GGA-PBE) for a geometry-optimized Na3BeI structure.

Results
- Fermi-level density of states (states/eV/atom) = 0.762
- size of the total moment (μB/cell) = 0.00
- energy relative to the elements, uncorrected (meV per atom) = 197
- symmetry = Pm-3m
- raw total energy (eV per atom) = -1.650

Lattice parameters (Å, degrees): 5.5187 5.5187 5.5187 90.00 90.00 90.00
Last column: nearest neighbours and their distance in Å.
Fractional coordinates of all 5 atoms:
Na (0.0000, 0.0000, 0.5000)  2 Be 2.76
Na (0.0000, 0.5000, 0.0000)  2 Be 2.76
Na (0.5000, 0.0000, 0.0000)  2 Be 2.76
Be (0.0000, 0.0000, 0.0000)  6 Na 2.76
I (0.5000, 0.5000, 0.5000)  12 Na 3.90

Density functional theory data (GGA-PBE) for a geometry-optimized NaBeNiI2 structure.

Results
- Fermi-level density of states (states/eV/atom) = 1.445
- size of the total moment (μB/cell) = 1.28
- energy relative to the elements, uncorrected (meV per atom) = 1099
- symmetry = P4/mmm
- raw total energy (eV per atom) = -1.686

Lattice parameters (Å, degrees): 5.8016 5.8016 4.9892 90.00 90.00 90.00
Last column: nearest neighbours and their distance in Å.
Fractional coordinates of all 5 atoms:
Na (0.0000, 0.0000, 0.0000)  2 Ni 2.49
Be (0.5000, 0.5000, 0.5000)  8 I 3.83, 4 Ni 4.10
Ni (0.0000, 0.0000, 0.5000)  2 Na 2.49
I (0.0000, 0.5000, 0.0000)  2 Na 2.90
I (0.5000, 0.0000, 0.0000)  2 Na 2.90